#w
Ho7Sb2Rh2: optimized geometry, PBE-GGA.

abc: 3.995 15.700 9.315
angles: 90.00 90.00 90.00
Space group Imm2 (No. 44)
Inequivalent atoms, fractional coordinates:
Ho1 0.000 0.000 0.000 [2 per cell]
Ho2 0.000 0.126 0.588 [4 per cell]
Ho3 0.000 0.315 0.379 [4 per cell]
Ho4 0.000 0.354 0.744 [4 per cell]
Sb1 0.000 0.000 0.333 [2 per cell]
Sb2 0.000 0.500 0.245 [2 per cell]
Rh1 0.000 0.240 0.071 [4 per cell]

## Properties
DOS(E_F) = 0.893 states/eV per atom

#x
Ho7Sb2Rh2: optimized geometry, PBE-GGA.

abc: 8.619 10.486 7.053
angles: 90.00 90.00 90.00
Space group Cmmm (No. 65)
Inequivalent atoms, fractional coordinates:
Ho1 0.000 0.000 0.000 [2 per cell]
Ho2 0.000 0.500 0.235 [4 per cell]
Ho3 0.250 0.250 0.245 [8 per cell]
Sb1 0.207 0.000 0.500 [4 per cell]
Rh1 0.000 0.278 0.000 [4 per cell]

## Properties
DOS(E_F) = 0.773 states/eV per atom

Which of them is least stable? Easy: #x.

#w
Ho2SbRh: optimized geometry, PBE-GGA.

abc: 6.071 4.291 8.024
angles: 90.00 111.53 90.00
Space group P2_1/m (No. 11)
Inequivalent atoms, fractional coordinates:
Ho1 0.168 0.250 0.402 [2 per cell]
Ho2 0.250 0.750 0.051 [2 per cell]
Sb1 0.391 0.750 0.709 [2 per cell]
Rh1 0.129 0.250 0.790 [2 per cell]

## Properties
DOS(E_F) = 0.242 states/eV per atom

#x
Ho2SbRh: optimized geometry, PBE-GGA.

abc: 3.525 3.525 7.502
angles: 90.00 90.00 90.00
Space group P4/mmm (No. 123)
Inequivalent atoms, fractional coordinates:
Ho1 0.000 0.000 0.220 [2 per cell]
Sb1 0.500 0.500 0.500 [1 per cell]
Rh1 0.500 0.500 0.000 [1 per cell]

## Properties
DOS(E_F) = 0.100 states/eV per atom

Which of them is least stable? Easy: #x.

#w
HoSbRh2: optimized geometry, PBE-GGA.

abc: 3.376 4.046 6.029
angles: 90.00 90.00 90.00
Space group Pmmm (No. 47)
Inequivalent atoms, fractional coordinates:
Ho1 0.000 0.000 0.000 [1 per cell]
Sb1 0.500 0.000 0.500 [1 per cell]
Rh1 0.500 0.500 0.233 [2 per cell]

## Properties
DOS(E_F) = 0.589 states/eV per atom

#x
HoSbRh2: optimized geometry, PBE-GGA.

abc: 4.5671 4.5671 12.5260
angles: 90.00 90.00 120.00
Space group R-3m (No. 166, hexagonal axes)
Inequivalent atoms, fractional coordinates:
Ho1 0.0000 0.0000 0.0000 [3 per cell]
Sb1 0.0000 0.0000 0.5000 [3 per cell]
Rh1 0.0000 0.0000 0.2273 [6 per cell]

## Properties
DOS(E_F) = 0.793 states/eV per atom

#y
HoSbRh2: optimized geometry, PBE-GGA.

abc: 4.462 4.462 3.715
angles: 90.00 90.00 90.00
Space group P4/mmm (No. 123)
Inequivalent atoms, fractional coordinates:
Ho1 0.000 0.000 0.000 [1 per cell]
Sb1 0.500 0.500 0.000 [1 per cell]
Rh1 0.000 0.500 0.500 [2 per cell]

## Properties
DOS(E_F) = 0.870 states/eV per atom

Which of them is least stable? Easy: #w.